1.
A geometry-optimized Nd5Er3S8 structure, computed with GGA-PBE.

abc: 7.9450 7.9450 19.8135
angles: 90.00 90.00 120.00
Space group R-3m (No. 166, hexagonal axes)
One atom of each set of equivalent atoms:
1 Nd 0.0000 0.0000 0.0000 (multiplicity 3)
2 Nd 0.0000 0.0000 0.5000 (multiplicity 3)
3 Nd 0.0000 0.5000 0.0000 (multiplicity 9)
4 Er 0.0000 0.5000 0.5000 (multiplicity 9)
5 S 0.0000 0.0000 0.2432 (multiplicity 6)
6 S 0.0092 0.5046 0.7548 (multiplicity 18)

Formation energy (no corrections) in eV per atom: -1.996
Magnetic moment in μB/f.u.: 0.0

=====

2.
A geometry-optimized ReSnH2 structure, computed with GGA-PBE.

abc: 5.803 5.803 5.386
angles: 90.00 90.00 90.00
Space group I-42d (No. 122)
One atom of each set of equivalent atoms:
1 Re 0.000 0.000 0.000 (multiplicity 4)
2 Sn 0.000 0.000 0.500 (multiplicity 4)
3 H 0.147 0.250 0.125 (multiplicity 8)

Calculated total energy in eV/cell: -85.90
Magnetic moment in μB/f.u.: 0.7

=====

3.
A geometry-optimized CsUI5 structure, computed with GGA-PBE.

abc: 15.934 8.558 12.375
angles: 90.00 112.06 90.00
Space group C2/c (No. 15)
One atom of each set of equivalent atoms:
1 Cs 0.000 0.008 0.250 (multiplicity 4)
2 U 0.000 0.500 0.000 (multiplicity 4)
3 I 0.000 0.467 0.750 (multiplicity 4)
4 I 0.130 0.233 0.552 (multiplicity 8)
5 I 0.151 0.273 0.090 (multiplicity 8)

Formation energy (no corrections) in eV per atom: -1.032
Magnetic moment in μB/f.u.: 2.0

=====

4.
A geometry-optimized Tm4SiCSe2 structure, computed with GGA-PBE.

abc: 6.831 3.834 6.945
angles: 90.00 108.65 90.00
Space group P2/m (No. 10)
One atom of each set of equivalent atoms:
1 Tm 0.218 0.000 0.208 (multiplicity 2)
2 Tm 0.235 0.500 0.777 (multiplicity 2)
3 Si 0.500 0.000 0.000 (multiplicity 1)
4 C 0.000 0.500 0.000 (multiplicity 1)
5 Se 0.000 0.000 0.500 (multiplicity 1)
6 Se 0.500 0.500 0.500 (multiplicity 1)

Formation energy (no corrections) in eV per atom: -1.166
Magnetic moment in μB/f.u.: 0.0

=====

5.
A geometry-optimized GdYW4 structure, computed with GGA-PBE.

abc: 7.862 7.862 7.862
angles: 90.00 90.00 90.00
Space group F-43m (No. 216)
One atom of each set of equivalent atoms:
1 Gd 0.000 0.000 0.000 (multiplicity 4)
2 Y 0.250 0.250 0.250 (multiplicity 4)
3 W 0.125 0.125 0.625 (multiplicity 16)

E_form in eV/atom: 0.186
Magnetic moment in μB/f.u.: 7.7

=====

6.
A geometry-optimized Sm2Dy5Bi4 structure, computed with GGA-PBE.

abc: 17.927 4.487 10.509
angles: 90.00 124.09 90.00
Space group C2/m (No. 12)
One atom of each set of equivalent atoms:
1 Sm 0.135 0.000 0.324 (multiplicity 4)
2 Dy 0.000 0.500 0.000 (multiplicity 2)
3 Dy 0.043 0.500 0.707 (multiplicity 4)
4 Dy 0.244 0.000 0.834 (multiplicity 4)
5 Bi 0.110 0.000 0.956 (multiplicity 4)
6 Bi 0.160 0.500 0.570 (multiplicity 4)

E_form in eV/atom: -0.562
Magnetic moment in μB/f.u.: 1.5

=====

7.
A geometry-optimized AcInPd2 structure, computed with GGA-PBE.

abc: 4.7066 4.7066 15.1089
angles: 90.00 90.00 120.00
Space group R-3m (No. 166, hexagonal axes)
One atom of each set of equivalent atoms:
1 Ac 0.0000 0.0000 0.0000 (multiplicity 3)
2 In 0.0000 0.0000 0.5000 (multiplicity 3)
3 Pd 0.0000 0.0000 0.2094 (multiplicity 6)

E_form in eV/atom: -0.766
Magnetic moment in μB/f.u.: 0.0

=====

8.
A geometry-optimized MnMo4W structure, computed with GGA-PBE.

abc: 7.339 7.339 7.339
angles: 90.00 90.00 90.00
Space group F-43m (No. 216)
One atom of each set of equivalent atoms:
1 Mn 0.000 0.000 0.000 (multiplicity 4)
2 Mo 0.125 0.125 0.625 (multiplicity 16)
3 W 0.250 0.250 0.250 (multiplicity 4)

E_form in eV/atom: 0.368
Magnetic moment in μB/f.u.: 4.4

=====

9.
A geometry-optimized KBeSe structure, computed with GGA-PBE.

abc: 9.144 7.111 6.597
angles: 90.00 132.19 90.00
Space group C2 (No. 5)
One atom of each set of equivalent atoms:
1 K 0.174 0.000 0.360 (multiplicity 4)
2 Be 0.121 0.382 0.998 (multiplicity 4)
3 Se 0.203 0.678 0.006 (multiplicity 4)

Formation energy (no corrections) in eV per atom: -0.514
Magnetic moment in μB/f.u.: 0.0

=====

10.
A geometry-optimized Ca8HgRh2 structure, computed with GGA-PBE.

abc: 8.986 13.238 5.860
angles: 90.00 104.33 90.00
Space group Cm (No. 8)
One atom of each set of equivalent atoms:
1 Ca 0.000 0.000 0.000 (multiplicity 2)
2 Ca 0.077 0.365 0.787 (multiplicity 4)
3 Ca 0.179 0.136 0.616 (multiplicity 4)
4 Ca 0.261 0.500 0.412 (multiplicity 2)
5 Ca 0.377 0.241 0.202 (multiplicity 4)
6 Hg 0.377 0.000 0.298 (multiplicity 2)
7 Rh 0.378 0.315 0.704 (multiplicity 4)

E_form in eV/atom: -0.302
Magnetic moment in μB/f.u.: 0.0

=====

11.
A geometry-optimized K2LiTa structure, computed with GGA-PBE.

abc: 4.885 4.885 11.508
angles: 90.00 90.00 90.00
Space group I4/mmm (No. 139)
One atom of each set of equivalent atoms:
1 K 0.000 0.500 0.250 (multiplicity 4)
2 Li 0.000 0.000 0.000 (multiplicity 2)
3 Ta 0.000 0.000 0.500 (multiplicity 2)

E_form in eV/atom: 1.393
Magnetic moment in μB/f.u.: 4.3

=====

12.
A geometry-optimized ZrCd2Au2 structure, computed with GGA-PBE.

abc: 8.202 8.202 2.996
angles: 90.00 90.00 90.00
Space group P4/mbm (No. 127)
One atom of each set of equivalent atoms:
1 Zr 0.000 0.000 0.000 (multiplicity 2)
2 Cd 0.125 0.375 0.000 (multiplicity 4)
3 Au 0.175 0.675 0.500 (multiplicity 4)

E_form in eV/atom: -0.110
Magnetic moment in μB/f.u.: 0.0